[1]
Here is an optimized crystal structure of LaDy2Cu6 from Alexandria. Energies are from PBE-GGA.

**N(E_F)**: 5.85 states/eV/cell
**Theoretical density**: 8.1 Mg/m³
**Calculated total energy**: -40.835 eV per cell
**Energy of formation**: -0.2363 eV/atom

a = 3.6633 Å, b = 7.3812 Å, c = 7.3812 Å
α = 120.00°, β = 90.00°, γ = 90.00°
Positions (direct):
La 0.0000 0.0000 0.0000
Dy 0.0000 0.3333 0.6667
Dy 0.0000 0.6667 0.3333
Cu 0.5000 0.3367 0.3367
Cu 0.5000 0.6633 0.6633
Cu 0.5000 0.0000 0.6633
Cu 0.5000 0.6633 0.0000
Cu 0.5000 0.3367 0.0000
Cu 0.5000 0.0000 0.3367

[2]
Here is an optimized crystal structure of LaDy2Cu from Alexandria. Energies are from PBE-GGA.

**N(E_F)**: 6.31 states/eV/cell
**Theoretical density**: 7.6 Mg/m³
**Calculated total energy**: -18.091 eV per cell
**Energy above the most stable polymorph in this dataset**: 129 meV/atom
**Energy of formation**: 0.0341 eV/atom

a = 3.6630 Å, b = 3.6630 Å, c = 10.1902 Å
α = 79.65°, β = 79.65°, γ = 60.00°
Positions (direct):
La 0.5000 0.5000 0.5000
Cu 0.0000 0.0000 0.0000
Dy 0.2682 0.2682 0.1953
Dy 0.7318 0.7318 0.8047

[3]
Here is an optimized crystal structure of LaDyCu2 from Alexandria. Energies are from PBE-GGA.

**N(E_F)**: 3.95 states/eV/cell
**Theoretical density**: 7.8 Mg/m³
**Calculated total energy**: -18.393 eV per cell
**Energy above the most stable polymorph in this dataset**: 28 meV/atom
**Energy of formation**: -0.1678 eV/atom

a = 5.0475 Å, b = 5.0475 Å, c = 5.0475 Å
α = 60.00°, β = 60.00°, γ = 60.00°
Positions (direct):
La 0.5000 0.5000 0.5000
Cu 0.2500 0.2500 0.2500
Cu 0.7500 0.7500 0.7500
Dy 0.0000 0.0000 0.0000

[4]
Here is an optimized crystal structure of LaDy2Cu from Alexandria. Energies are from PBE-GGA.

**N(E_F)**: 20.05 states/eV/cell
**Theoretical density**: 7.7 Mg/m³
**Calculated total energy**: -74.239 eV per cell
**Energy above the most stable polymorph in this dataset**: 12 meV/atom
**Energy of formation**: -0.0830 eV/atom

a = 6.5335 Å, b = 6.8929 Å, c = 10.0537 Å
α = 90.00°, β = 90.00°, γ = 90.00°
Positions (direct):
La 0.6361 0.5074 0.2500
La 0.8639 0.0074 0.2500
La 0.3639 0.4926 0.7500
La 0.1361 0.9926 0.7500
Dy 0.1771 0.6790 0.0572
Dy 0.3229 0.1790 0.4428
Dy 0.8229 0.3210 0.5572
Dy 0.6771 0.8210 0.9428
Dy 0.8229 0.3210 0.9428
Dy 0.6771 0.8210 0.5572
Dy 0.1771 0.6790 0.4428
Dy 0.3229 0.1790 0.0572
Cu 0.0768 0.3917 0.2500
Cu 0.4232 0.8917 0.2500
Cu 0.9232 0.6083 0.7500
Cu 0.5768 0.1083 0.7500

[5]
Here is an optimized crystal structure of LaDy4Cu5 from Alexandria. Energies are from PBE-GGA.

**N(E_F)**: 5.30 states/eV/cell
**Theoretical density**: 8.5 Mg/m³
**Calculated total energy**: -46.111 eV per cell
**Energy of formation**: -0.2294 eV/atom

a = 3.4813 Å, b = 3.4813 Å, c = 17.7398 Å
α = 90.00°, β = 90.00°, γ = 90.00°
Positions (direct):
La 0.0000 0.0000 0.0000
Dy 0.0000 0.0000 0.2065
Dy 0.0000 0.0000 0.4022
Dy 0.0000 0.0000 0.5978
Dy 0.0000 0.0000 0.7935
Cu 0.5000 0.5000 0.1146
Cu 0.5000 0.5000 0.3045
Cu 0.5000 0.5000 0.5000
Cu 0.5000 0.5000 0.6955
Cu 0.5000 0.5000 0.8854

[6]
Here is an optimized crystal structure of LaDyCu10 from Alexandria. Energies are from PBE-GGA.

**N(E_F)**: 6.60 states/eV/cell
**Theoretical density**: 8.4 Mg/m³
**Calculated total energy**: -52.600 eV per cell
**Energy of formation**: -0.1758 eV/atom

a = 4.1194 Å, b = 5.1205 Å, c = 8.7942 Å
α = 90.00°, β = 90.00°, γ = 90.00°
Positions (direct):
La 0.0000 0.5000 0.5000
Dy 0.0000 0.0000 0.0000
Cu 0.0000 0.0000 0.3273
Cu 0.0000 0.5000 0.8395
Cu 0.0000 0.5000 0.1605
Cu 0.0000 0.0000 0.6727
Cu 0.5000 0.0000 0.5000
Cu 0.5000 0.5000 0.0000
Cu 0.5000 0.2460 0.2430
Cu 0.5000 0.7540 0.7570
Cu 0.5000 0.7540 0.2430
Cu 0.5000 0.2460 0.7570